DFT (PBE) results for a relaxed structure of ReOs3.

Summary:
As for the space group: No. 139. Its calculated formation energy is 89 meV/atom. The theoretical density is 21.7 g cm⁻³. As for the total energy: -0.841 Ry per atom. The energy above the most stable polymorph in this dataset is 173 meV/atom.

Lattice parameters (Å, degrees): 3.8634 3.8634 15.5389 90.00 90.00 90.00
Sites, in units of the cell vectors:
Re (0.0000, 0.0000, 0.1253)
Re (0.0000, 0.0000, 0.8747)
Re (0.5000, 0.5000, 0.3747)
Re (0.5000, 0.5000, 0.6253)
Os (0.0000, 0.0000, 0.3751)
Os (0.0000, 0.0000, 0.6249)
Os (0.0000, 0.5000, 0.0000)
Os (0.0000, 0.5000, 0.2500)
Os (0.0000, 0.5000, 0.5000)
Os (0.0000, 0.5000, 0.7500)
Os (0.5000, 0.0000, 0.0000)
Os (0.5000, 0.0000, 0.2500)
Os (0.5000, 0.0000, 0.5000)
Os (0.5000, 0.0000, 0.7500)
Os (0.5000, 0.5000, 0.1249)
Os (0.5000, 0.5000, 0.8751)